1.
! CsScSe2 GGA-PBE optimized geometry; values from VASP
&SYSTEM
  ibrav = 0, nat = 4, ntyp = 3
/
ATOMIC_SPECIES
Sc 44.96 Sc.upf
Cs 132.91 Cs.upf
Se 78.96 Se.upf
ATOMIC_POSITIONS angstrom
Sc -0.540 -1.527 5.214
Cs -1.698 -1.889 0.627
Se 1.493 -3.395 4.973
Se 0.530 -0.381 2.932
CELL_PARAMETERS angstrom
-0.476 3.691 1.630
-2.623 -2.971 0.896
4.035 -4.465 6.222
! Formation energy from raw total energies (eV per atom): -1.56
! Calculated density (g/cm3): 4.681
! Total magnetization (μB/cell): 0.0

2.
! LuTh2In GGA-PBE optimized geometry; values from VASP
&SYSTEM
  ibrav = 0, nat = 4, ntyp = 3
/
ATOMIC_SPECIES
Lu 174.97 Lu.upf
Th 232.04 Th.upf
In 114.82 In.upf
ATOMIC_POSITIONS angstrom
Lu 2.100 2.100 3.440
Th 0.000 0.000 5.254
Th 0.000 0.000 1.625
In 2.100 2.100 0.000
CELL_PARAMETERS angstrom
4.200 0.000 0.000
0.000 4.200 0.000
0.000 0.000 6.879
! Relative energy among the computed polymorphs (eV per atom): 0.117
! DFT formation energy (eV per atom): -0.059
! Calculated density (g/cm3): 10.316
! Total magnetization (μB/cell): 0.0

3.
! LaTb2NdDy4 GGA-PBE optimized geometry; values from VASP
&SYSTEM
  ibrav = 0, nat = 16, ntyp = 4
/
ATOMIC_SPECIES
La 138.91 La.upf
Tb 158.93 Tb.upf
Nd 144.24 Nd.upf
Dy 162.50 Dy.upf
ATOMIC_POSITIONS angstrom
La 1.847 1.793 2.510
La -3.042 -8.622 8.395
Tb 3.587 0.096 -0.132
Tb 1.628 7.799 0.955
Tb 5.215 7.896 0.822
Tb 0.325 -2.520 6.707
Nd 3.911 -2.424 6.575
Nd -1.739 1.697 2.644
Dy 1.473 9.035 -2.383
Dy 3.754 -1.192 3.232
Dy -0.059 4.776 1.788
Dy 2.222 -5.452 7.403
Dy 5.051 9.126 -2.511
Dy 3.529 4.878 1.644
Dy 0.167 -1.294 3.375
Dy -1.356 -5.542 7.530
CELL_PARAMETERS angstrom
7.173 0.190 -0.266
-0.437 12.016 -3.109
-3.042 -8.623 8.395
! DFT formation energy (eV per atom): 0.017
! Calculated density (g/cm3): 7.942
! Total magnetization (μB/cell): 0.0

4.
! PaTaVMo GGA-PBE optimized geometry; values from VASP
&SYSTEM
  ibrav = 0, nat = 4, ntyp = 4
/
ATOMIC_SPECIES
Mo 95.94 Mo.upf
Pa 231.04 Pa.upf
V 50.94 V.upf
Ta 180.95 Ta.upf
ATOMIC_POSITIONS angstrom
Mo -2.538 -0.786 1.051
Pa -5.076 -1.571 2.103
V -7.614 -2.357 3.154
Ta 0.000 0.000 0.000
CELL_PARAMETERS angstrom
-3.770 -2.652 -0.728
-2.173 -2.006 3.609
-4.210 1.516 1.324
! DFT formation energy (eV per atom): 0.029
! Calculated density (g/cm3): 12.919
! Total magnetization (μB/cell): 0.0

5.
! K2RbInAg GGA-PBE optimized geometry; values from VASP
&SYSTEM
  ibrav = 0, nat = 5, ntyp = 4
/
ATOMIC_SPECIES
K 39.10 K.upf
Rb 85.47 Rb.upf
Ag 107.87 Ag.upf
In 114.82 In.upf
ATOMIC_POSITIONS angstrom
K 0.000 3.318 0.000
K 3.318 0.000 0.000
Rb 3.318 3.318 2.705
Ag 0.000 0.000 0.000
In 0.000 0.000 2.705
CELL_PARAMETERS angstrom
6.635 0.000 0.000
0.000 6.635 0.000
0.000 0.000 5.411
! Relative energy among the computed polymorphs (eV per atom): 0.000
! DFT formation energy (eV per atom): 0.029
! Calculated density (g/cm3): 2.693
! Total magnetization (μB/cell): 0.0

6.
! Ca2MgSb GGA-PBE optimized geometry; values from VASP
&SYSTEM
  ibrav = 0, nat = 8, ntyp = 3
/
ATOMIC_SPECIES
Sb 121.76 Sb.upf
Ca 40.08 Ca.upf
Mg 24.30 Mg.upf
ATOMIC_POSITIONS angstrom
Sb 0.000 0.000 0.000
Sb 4.982 -5.919 -0.956
Ca 2.271 -4.261 -0.437
Ca 3.283 -1.831 -2.933
Ca 8.077 -5.197 -1.475
Ca 8.270 -7.832 -3.962
Mg 0.157 -2.623 -2.336
Mg 5.968 -3.642 -3.447
CELL_PARAMETERS angstrom
-0.829 -4.900 0.155
1.143 -0.347 -4.827
10.636 -4.314 0.268
! Relative energy among the computed polymorphs (eV per atom): 0.489
! Formation energy from raw total energies (eV per atom): -0.08
! Calculated density (g/cm3): 2.781
! Total magnetization (μB/cell): 0.0

7.
! Cu2MoSe GGA-PBE optimized geometry; values from VASP
&SYSTEM
  ibrav = 0, nat = 4, ntyp = 3
/
ATOMIC_SPECIES
Cu 63.55 Cu.upf
Mo 95.94 Mo.upf
Se 78.96 Se.upf
ATOMIC_POSITIONS angstrom
Cu -15.177 -21.177 -1.752
Cu -7.610 -10.619 -0.878
Mo -3.798 -5.299 -0.438
Se -11.394 -15.898 -1.315
CELL_PARAMETERS angstrom
-6.391 -6.117 -0.558
-4.364 -7.450 -2.007
-4.437 -7.631 0.812
! Formation energy from raw total energies (eV per atom): 0.40
! Calculated density (g/cm3): 8.322
! Total magnetization (μB/cell): 0.0

Look up the total magnetization of the first one. 0.0 μB/cell

The lowest calculated density belongs to which entry? K2RbInAg

What is the calculated density in the seventh record? 8.322 g/cm3